{"formula": "Ho2GeAs", "functional": "PBE", "state": "relaxed", "spacegroup": "Cmcm", "relative_energy_ev_per_atom": 0.000, "final_energy_ev_per_atom": -5.79, "formation_energy_mev_per_atom": -1183, "lattice_angstrom": [[-3.195, 1.502, -1.924], [0.717, -2.588, -3.211], [-6.891, -6.461, 6.398]], "species": ["As", "As", "Ge", "Ge", "Ho", "Ho", "Ho", "Ho"], "frac_coords": [[0.250, 0.188, 0.376], [0.750, 0.812, 0.624], [0.250, 0.457, 0.914], [0.750, 0.543, 0.086], [0.750, 0.936, 0.871], [0.250, 0.064, 0.129], [0.250, 0.315, 0.630], [0.750, 0.685, 0.370]]}

{"formula": "Ho2GeAs", "functional": "PBE", "state": "relaxed", "spacegroup": "R3m", "relative_energy_ev_per_atom": 0.235, "final_energy_ev_per_atom": -5.55, "formation_energy_mev_per_atom": -949, "lattice_angstrom": [[-2.572, 0.992, 2.839], [-2.870, -2.519, 1.038], [2.636, -3.488, 6.364]], "species": ["Ho", "Ho", "Ge", "As"], "frac_coords": [[0.084, 0.084, 0.747], [0.249, 0.249, 0.254], [0.668, 0.668, 0.995], [0.499, 0.499, 0.504]]}

{"formula": "Ho6GeAs5", "functional": "PBE", "state": "relaxed", "spacegroup": "C2/m", "final_energy_ev_per_atom": -5.98, "formation_energy_mev_per_atom": -1372, "lattice_angstrom": [[7.018, 0.176, 1.069], [1.729, 5.957, 3.473], [0.119, 0.061, 7.112]], "species": ["Ho", "Ho", "Ho", "Ho", "Ho", "Ho", "As", "As", "As", "As", "As", "Ge"], "frac_coords": [[0.250, 0.917, 0.665], [0.251, 0.252, 0.000], [0.750, 0.083, 0.335], [0.750, 0.418, 0.665], [0.250, 0.582, 0.335], [0.749, 0.748, 0.000], [0.000, 0.666, 0.667], [0.500, 0.500, 0.000], [0.500, 0.833, 0.334], [0.500, 0.167, 0.666], [0.000, 0.334, 0.333], [0.000, 0.000, 0.000]]}

{"formula": "HoGeAs", "functional": "PBE", "state": "relaxed", "spacegroup": "Pnma", "final_energy_ev_per_atom": -5.24, "formation_energy_mev_per_atom": -627, "lattice_angstrom": [[5.376, 0.000, 0.000], [0.000, 5.736, 0.000], [0.000, 0.000, 8.959]], "species": ["As", "As", "As", "As", "Ho", "Ho", "Ho", "Ho", "Ge", "Ge", "Ge", "Ge"], "frac_coords": [[0.424, 0.250, 0.325], [0.924, 0.750, 0.175], [0.576, 0.750, 0.675], [0.076, 0.250, 0.825], [0.078, 0.750, 0.832], [0.922, 0.250, 0.168], [0.578, 0.250, 0.668], [0.422, 0.750, 0.332], [0.079, 0.250, 0.511], [0.579, 0.750, 0.989], [0.421, 0.250, 0.011], [0.921, 0.750, 0.489]]}